No. 1
# Rb2ZnInAu2 | Alexandria via LeMat-Bulk | PBE | relaxed
data_Rb2ZnInAu2
_cell_length_a 7.649
_cell_length_b 14.136
_cell_length_c 7.005
_cell_angle_alpha 90.00
_cell_angle_beta 90.00
_cell_angle_gamma 90.00
_space_group_name_H-M_alt 'I b a m'
_space_group_IT_number 72
_space_group_name_Hall '-I 2 2c'
loop_
_atom_site_label
_atom_site_type_symbol
_atom_site_fract_x
_atom_site_fract_y
_atom_site_fract_z
Rb1 Rb 0.212 0.183 0.000
Zn1 Zn 0.000 0.000 0.250
In1 In 0.000 0.500 0.250
Au1 Au 0.232 0.064 0.500
# DFT total energy = -2.3209 eV per atom
# Fermi-level density of states = 2.4 states/eV/f.u.
# M_tot = 0.00 μB/f.u.
# formation energy from the elements = -23 kJ per mole of atoms

No. 2
# LiRuO3 | Alexandria via LeMat-Bulk | PBE | relaxed
data_LiRuO3
_cell_length_a 5.477
_cell_length_b 3.057
_cell_length_c 7.349
_cell_angle_alpha 90.00
_cell_angle_beta 97.81
_cell_angle_gamma 90.00
_space_group_name_H-M_alt 'P 1 21/m 1'
_space_group_IT_number 11
_space_group_name_Hall '-P 2yb'
loop_
_atom_site_label
_atom_site_type_symbol
_atom_site_fract_x
_atom_site_fract_y
_atom_site_fract_z
Li1 Li 0.113 0.250 0.376
Ru1 Ru 0.405 0.250 0.809
O1 O 0.113 0.250 0.654
O2 O 0.321 0.750 0.969
O3 O 0.431 0.250 0.289
# raw formation energy = -1.2164 eV per atom
# DFT total energy = -6.4292 eV per atom
# Fermi-level density of states = 2.7 states/eV/f.u.
# M_tot = 0.00 μB/f.u.

No. 3
# PmPuAgAu | Alexandria via LeMat-Bulk | PBE | relaxed
data_PmPuAgAu
_cell_length_a 7.373
_cell_length_b 7.373
_cell_length_c 7.373
_cell_angle_alpha 90.00
_cell_angle_beta 90.00
_cell_angle_gamma 90.00
_space_group_name_H-M_alt 'F -4 3 m'
_space_group_IT_number 216
_space_group_name_Hall 'F -4 2 3'
loop_
_atom_site_label
_atom_site_type_symbol
_atom_site_fract_x
_atom_site_fract_y
_atom_site_fract_z
Pm1 Pm 0.000 0.000 0.000
Pu1 Pu 0.000 0.000 0.500
Ag1 Ag 0.250 0.250 0.750
Au1 Au 0.250 0.250 0.250
# DFT total energy = -6.6163 eV per atom
# Fermi-level density of states = 10.9 states/eV/f.u.
# M_tot = 5.83 μB/f.u.
# formation energy from the elements = -30 kJ per mole of atoms

No. 4
# TlIn2CuCl8 | Alexandria via LeMat-Bulk | PBE | relaxed
data_TlIn2CuCl8
_cell_length_a 13.845
_cell_length_b 6.950
_cell_length_c 8.552
_cell_angle_alpha 90.00
_cell_angle_beta 112.72
_cell_angle_gamma 90.00
_space_group_name_H-M_alt 'C 1 2/m 1'
_space_group_IT_number 12
_space_group_name_Hall '-C 2y'
loop_
_atom_site_label
_atom_site_type_symbol
_atom_site_fract_x
_atom_site_fract_y
_atom_site_fract_z
Tl1 Tl 0.000 0.000 0.000
In1 In 0.189 0.000 0.658
Cu1 Cu 0.000 0.500 0.500
Cl1 Cl 0.089 0.262 0.713
Cl2 Cl 0.135 0.500 0.142
Cl3 Cl 0.188 0.000 0.378
# raw formation energy = -0.9177 eV per atom
# DFT total energy = -3.1438 eV per atom
# M_tot = 0.00 μB/f.u.